# Ba2CoPtN (PBE, optimized geometry)
# - DOS at the Fermi energy: 2.5 states/eV/cell
# - Formation energy from raw total energies: -2.301 eV/f.u.
# - Electronic total energy: -5.5236 eV/atom
data_Ba2CoPtN
_chemical_formula_sum 'Ba2 Co1 Pt1 N1'
_cell_length_a 5.753
_cell_length_b 5.753
_cell_length_c 3.537
_cell_angle_alpha 90.00
_cell_angle_beta 90.00
_cell_angle_gamma 90.00
_space_group_name_H-M_alt 'P 4/m m m'
_space_group_IT_number 123
_space_group_name_Hall '-P 4 2'
loop_
_atom_site_label
_atom_site_type_symbol
_atom_site_fract_x
_atom_site_fract_y
_atom_site_fract_z
Ba1 Ba 0.000 0.500 0.000
Co1 Co 0.000 0.000 0.500
Pt1 Pt 0.500 0.500 0.500
N1 N 0.000 0.000 0.000

---

# Mg3TlRh (PBE, optimized geometry)
# - DOS at the Fermi energy: 4.2 states/eV/cell
# - Formation energy: -23 kJ per mole of atoms
# - Electronic total energy: -3.1424 eV/atom
data_Mg3TlRh
_chemical_formula_sum 'Mg6 Tl2 Rh2'
_cell_length_a 8.703
_cell_length_b 7.526
_cell_length_c 3.178
_cell_angle_alpha 90.00
_cell_angle_beta 90.00
_cell_angle_gamma 90.00
_space_group_name_H-M_alt 'P m a 2'
_space_group_IT_number 28
loop_
_space_group_symop_operation_xyz
'x,y,z'
'-x,-y,z'
'-x+1/2,y,z'
'x+1/2,-y,z'
loop_
_atom_site_label
_atom_site_type_symbol
_atom_site_fract_x
_atom_site_fract_y
_atom_site_fract_z
Mg1 Mg 0.045 0.218 0.000
Mg2 Mg 0.250 0.546 0.998
Tl1 Tl 0.250 0.932 0.502
Rh1 Rh 0.000 0.500 0.500

---

# CaNiSb2 (PBE, optimized geometry)
# - DOS at the Fermi energy: 15.4 states/eV/cell
# - Formation energy from raw total energies: -0.340 eV/f.u.
# - Electronic total energy: -4.0920 eV/atom
data_CaNiSb2
_chemical_formula_sum 'Ca4 Ni4 Sb8'
_cell_length_a 7.137
_cell_length_b 7.137
_cell_length_c 7.137
_cell_angle_alpha 90.00
_cell_angle_beta 90.00
_cell_angle_gamma 90.00
_space_group_name_H-M_alt 'F m -3 m'
_space_group_IT_number 225
_space_group_name_Hall '-F 4 2 3'
loop_
_atom_site_label
_atom_site_type_symbol
_atom_site_fract_x
_atom_site_fract_y
_atom_site_fract_z
Ca1 Ca 0.000 0.000 0.000
Ni1 Ni 0.000 0.000 0.500
Sb1 Sb 0.250 0.250 0.250

---

# AgSn2GeAs4 (PBE, optimized geometry)
# - DOS at the Fermi energy: 12.0 states/eV/cell
# - Formation energy: 1 kJ per mole of atoms
# - Electronic total energy: -4.2449 eV/atom
data_AgSn2GeAs4
_chemical_formula_sum 'Ag4 Sn8 Ge4 As16'
_cell_length_a 8.761
_cell_length_b 8.779
_cell_length_c 11.775
_cell_angle_alpha 90.00
_cell_angle_beta 90.00
_cell_angle_gamma 90.00
_space_group_name_H-M_alt 'F m m 2'
_space_group_IT_number 42
_space_group_name_Hall 'F 2 -2'
loop_
_atom_site_label
_atom_site_type_symbol
_atom_site_fract_x
_atom_site_fract_y
_atom_site_fract_z
Ag1 Ag 0.000 0.000 0.000
Sn1 Sn 0.250 0.250 0.250
Ge1 Ge 0.000 0.000 0.500
As1 As 0.000 0.242 0.386
As2 As 0.242 0.000 0.614

---

# LiMgPO2 (PBE, optimized geometry)
# - DOS at the Fermi energy: 3.4 states/eV/cell
# - Formation energy from raw total energies: -1.499 eV/f.u.
# - Electronic total energy: -4.0668 eV/atom
data_LiMgPO2
_chemical_formula_sum 'Li1 Mg1 P1 O2'
_cell_length_a 3.918
_cell_length_b 3.918
_cell_length_c 5.292
_cell_angle_alpha 90.00
_cell_angle_beta 90.00
_cell_angle_gamma 90.00
_space_group_name_H-M_alt 'P 4/m m m'
_space_group_IT_number 123
_space_group_name_Hall '-P 4 2'
loop_
_atom_site_label
_atom_site_type_symbol
_atom_site_fract_x
_atom_site_fract_y
_atom_site_fract_z
Li1 Li 0.000 0.000 0.000
Mg1 Mg 0.500 0.500 0.500
P1 P 0.500 0.500 0.000
O1 O 0.000 0.500 0.500

---

# Pm6Pr5Al (PBE, optimized geometry)
# - DOS at the Fermi energy: 31.3 states/eV/cell
# - Formation energy: -1 kJ per mole of atoms
# - Electronic total energy: -4.6872 eV/atom
data_Pm6Pr5Al
_chemical_formula_sum 'Pm12 Pr10 Al2'
_cell_length_a 6.243
_cell_length_b 10.843
_cell_length_c 11.978
_cell_angle_alpha 90.00
_cell_angle_beta 100.20
_cell_angle_gamma 90.00
_space_group_name_H-M_alt 'C 1 2/m 1'
_space_group_IT_number 12
loop_
_space_group_symop_operation_xyz
'x,y,z'
'-x,-y,-z'
'-x,y,-z'
'x,-y,z'
'x+1/2,y+1/2,z'
'-x+1/2,-y+1/2,-z'
'-x+1/2,y+1/2,-z'
'x+1/2,-y+1/2,z'
loop_
_atom_site_label
_atom_site_type_symbol
_atom_site_fract_x
_atom_site_fract_y
_atom_site_fract_z
Pm1 Pm 0.240 0.000 0.256
Pm2 Pm 0.240 0.161 0.743
Pr1 Pr 0.000 0.169 0.000
Pr2 Pr 0.000 0.334 0.500
Pr3 Pr 0.000 0.500 0.000
Al1 Al 0.000 0.000 0.500

---

# La2TbEr2In5 (PBE, optimized geometry)
# - DOS at the Fermi energy: 17.4 states/eV/cell
# - Formation energy: -35 kJ per mole of atoms
# - Electronic total energy: -4.0957 eV/atom
data_La2TbEr2In5
_chemical_formula_sum 'La4 Tb2 Er4 In10'
_cell_length_a 11.048
_cell_length_b 11.048
_cell_length_c 4.668
_cell_angle_alpha 90.00
_cell_angle_beta 90.00
_cell_angle_gamma 90.00
_space_group_name_H-M_alt 'P 4/m b m'
_space_group_IT_number 127
_space_group_name_Hall '-P 4 2ab'
loop_
_atom_site_label
_atom_site_type_symbol
_atom_site_fract_x
_atom_site_fract_y
_atom_site_fract_z
La1 La 0.176 0.324 0.000
Tb1 Tb 0.000 0.000 0.000
Er1 Er 0.124 0.624 0.000
In1 In 0.000 0.500 0.500
In2 In 0.062 0.805 0.500

---

# LiBi3Pd4 (PBE, optimized geometry)
# - DOS at the Fermi energy: 8.7 states/eV/cell
# - Formation energy: -31 kJ per mole of atoms
# - Electronic total energy: -4.6071 eV/atom
data_LiBi3Pd4
_chemical_formula_sum 'Li2 Bi6 Pd8'
_cell_length_a 14.366
_cell_length_b 4.835
_cell_length_c 4.835
_cell_angle_alpha 90.00
_cell_angle_beta 109.57
_cell_angle_gamma 90.00
_space_group_name_H-M_alt 'C 1 2/m 1'
_space_group_IT_number 12
loop_
_space_group_symop_operation_xyz
'x,y,z'
'-x,-y,-z'
'-x,y,-z'
'x,-y,z'
'x+1/2,y+1/2,z'
'-x+1/2,-y+1/2,-z'
'-x+1/2,y+1/2,-z'
'x+1/2,-y+1/2,z'
loop_
_atom_site_label
_atom_site_type_symbol
_atom_site_fract_x
_atom_site_fract_y
_atom_site_fract_z
Li1 Li 0.000 0.000 0.000
Bi1 Bi 0.000 0.500 0.500
Bi2 Bi 0.238 0.000 0.238
Pd1 Pd 0.115 0.000 0.614
Pd2 Pd 0.115 0.500 0.115

---

> What is the formula in the fifth record?

LiMgPO2

---

> What is the DOS at the Fermi energy in the second record?

4.2 states/eV/cell

---

> Which formula does entry 4 have?

AgSn2GeAs4